[1]
# GGA-PBE TmAg3Sn4O12, relaxed
# VASP energy = -5.7635 eV per atom
# spin magnetization = 0.1000 μB per atom
data_TmAg3Sn4O12
_chemical_formula_sum 'Tm1 Ag3 Sn4 O12'
_space_group_name_H-M_alt 'P 1'
_space_group_IT_number 1
_space_group_name_Hall 'P 1'
_cell_length_a 6.8163
_cell_length_b 6.8163
_cell_length_c 6.8163
_cell_angle_alpha 109.47
_cell_angle_beta 109.47
_cell_angle_gamma 109.47
loop_
_atom_site_label
_atom_site_type_symbol
_atom_site_fract_x
_atom_site_fract_y
_atom_site_fract_z
_atom_site_occupancy
Ag1 Ag 0.5000 0.5000 0.0000 1
Ag2 Ag 0.5000 0.0000 0.5000 1
Ag3 Ag 0.0000 0.5000 0.5000 1
O1 O 0.2809 0.8221 0.1030 1
O2 O 0.4588 0.2809 0.1779 1
O3 O 0.8970 0.7191 0.1779 1
O4 O 0.1779 0.4588 0.2809 1
O5 O 0.8221 0.1030 0.2809 1
O6 O 0.2809 0.1779 0.4588 1
O7 O 0.7191 0.8221 0.5412 1
O8 O 0.8221 0.5412 0.7191 1
O9 O 0.1779 0.8970 0.7191 1
O10 O 0.1030 0.2809 0.8221 1
O11 O 0.5412 0.7191 0.8221 1
O12 O 0.7191 0.1779 0.8970 1
Sn1 Sn 0.5000 0.0000 0.0000 1
Sn2 Sn 0.0000 0.5000 0.0000 1
Sn3 Sn 0.0000 0.0000 0.5000 1
Sn4 Sn 0.5000 0.5000 0.5000 1
Tm1 Tm 0.0000 0.0000 0.0000 1

***

[2]
# GGA-PBE Sr2Hg, relaxed
# VASP energy = -0.8369 eV per atom
data_Sr2Hg
_chemical_formula_sum 'Sr4 Hg2'
_space_group_name_H-M_alt 'P 1'
_space_group_IT_number 1
_space_group_name_Hall 'P 1'
_cell_length_a 9.9972
_cell_length_b 9.9972
_cell_length_c 9.9972
_cell_angle_alpha 60.00
_cell_angle_beta 60.00
_cell_angle_gamma 60.00
loop_
_atom_site_label
_atom_site_type_symbol
_atom_site_fract_x
_atom_site_fract_y
_atom_site_fract_z
_atom_site_occupancy
Hg1 Hg 0.2500 0.2500 0.2500 1
Hg2 Hg 0.5000 0.5000 0.5000 1
Sr1 Sr 0.8750 0.3750 0.3750 1
Sr2 Sr 0.3750 0.8750 0.3750 1
Sr3 Sr 0.3750 0.3750 0.3750 1
Sr4 Sr 0.3750 0.3750 0.8750 1

***

[3]
# GGA-PBE Rb2SnAuBr6, relaxed
# VASP energy = -2.9157 eV per atom
data_Rb2SnAuBr6
_chemical_formula_sum 'Rb2 Sn1 Au1 Br6'
_space_group_name_H-M_alt 'P 1'
_space_group_IT_number 1
_space_group_name_Hall 'P 1'
_cell_length_a 7.8811
_cell_length_b 7.8811
_cell_length_c 7.8811
_cell_angle_alpha 60.00
_cell_angle_beta 60.00
_cell_angle_gamma 60.00
loop_
_atom_site_label
_atom_site_type_symbol
_atom_site_fract_x
_atom_site_fract_y
_atom_site_fract_z
_atom_site_occupancy
Au1 Au 0.0000 0.0000 0.0000 1
Br1 Br 0.2485 0.7515 0.2485 1
Br2 Br 0.7515 0.2485 0.2485 1
Br3 Br 0.7515 0.7515 0.2485 1
Br4 Br 0.2485 0.2485 0.7515 1
Br5 Br 0.7515 0.2485 0.7515 1
Br6 Br 0.2485 0.7515 0.7515 1
Rb1 Rb 0.2500 0.2500 0.2500 1
Rb2 Rb 0.7500 0.7500 0.7500 1
Sn1 Sn 0.5000 0.5000 0.5000 1